VASP calculation (meta-GGA SCAN) on a PBEsol-optimized structure of AgIr2Se.

ΔE_f (raw) (meV/atom): 819.8
Uncorrected energy (eV/atom): -47.591

CIF file:
```
data_AgIr2Se
_space_group_name_H-M_alt 'P 4/m m m'
_space_group_IT_number 123
_space_group_name_Hall '-P 4 2'
_cell_length_a 4.1425
_cell_length_b 4.1425
_cell_length_c 3.5783
_cell_angle_alpha 90.00
_cell_angle_beta 90.00
_cell_angle_gamma 90.00
loop_
_atom_site_label
_atom_site_fract_x
_atom_site_fract_y
_atom_site_fract_z
Ag1 0.0000 0.0000 0.0000
Ir1 0.0000 0.5000 0.5000
Se1 0.5000 0.5000 0.0000
```

***

VASP calculation (meta-GGA SCAN) on a PBEsol-optimized structure of AgIrSe2.

ΔE_f (raw) (meV/atom): 30.3
Uncorrected energy (eV/atom): -35.625

CIF file:
```
data_AgIrSe2
_space_group_name_H-M_alt 'C 1 m 1'
_space_group_IT_number 8
_cell_length_a 9.6040
_cell_length_b 3.5967
_cell_length_c 5.0261
_cell_angle_alpha 90.00
_cell_angle_beta 101.41
_cell_angle_gamma 90.00
loop_
_space_group_symop_operation_xyz
'x,y,z'
'x,-y,z'
'x+1/2,y+1/2,z'
'x+1/2,-y+1/2,z'
loop_
_atom_site_label
_atom_site_fract_x
_atom_site_fract_y
_atom_site_fract_z
Ag1 0.0000 0.0000 0.0000
Ir1 0.2101 0.5000 0.8713
Se1 0.1344 0.0000 0.5608
Se2 0.3102 0.0000 0.1839
```

***

VASP calculation (meta-GGA SCAN) on a PBEsol-optimized structure of AgIrSe2.

ΔE_f (raw) (meV/atom): -241.9
Uncorrected energy (eV/atom): -35.898

CIF file:
```
data_AgIrSe2
_space_group_name_H-M_alt 'R -3 m'
_space_group_IT_number 166
_space_group_name_Hall '-R 3 2"'
_cell_length_a 3.7244
_cell_length_b 3.7244
_cell_length_c 22.1626
_cell_angle_alpha 90.00
_cell_angle_beta 90.00
_cell_angle_gamma 120.00
loop_
_atom_site_label
_atom_site_fract_x
_atom_site_fract_y
_atom_site_fract_z
Ag1 0.0000 0.0000 0.0000
Ir1 0.0000 0.0000 0.5000
Se1 0.0000 0.0000 0.1114
```

***

VASP calculation (meta-GGA SCAN) on a PBEsol-optimized structure of AgIr2Se.

ΔE_f (raw) (meV/atom): 537.9
Uncorrected energy (eV/atom): -47.873

CIF file:
```
data_AgIr2Se
_space_group_name_H-M_alt 'P 1 2/m 1'
_space_group_IT_number 10
_cell_length_a 2.8175
_cell_length_b 4.3273
_cell_length_c 5.2152
_cell_angle_alpha 90.00
_cell_angle_beta 103.59
_cell_angle_gamma 90.00
loop_
_space_group_symop_operation_xyz
'x,y,z'
'-x,-y,-z'
'-x,y,-z'
'x,-y,z'
loop_
_atom_site_label
_atom_site_fract_x
_atom_site_fract_y
_atom_site_fract_z
Ag1 0.0000 0.0000 0.0000
Ir1 0.3746 0.5000 0.7350
Se1 0.5000 0.0000 0.5000
```

***

VASP calculation (meta-GGA SCAN) on a PBEsol-optimized structure of AgIr2Se.

ΔE_f (raw) (meV/atom): 620.0
Uncorrected energy (eV/atom): -47.791

CIF file:
```
data_AgIr2Se
_space_group_name_H-M_alt 'C m m m'
_space_group_IT_number 65
_space_group_name_Hall '-C 2 2'
_cell_length_a 2.7744
_cell_length_b 4.8022
_cell_length_c 9.2752
_cell_angle_alpha 90.00
_cell_angle_beta 90.00
_cell_angle_gamma 90.00
loop_
_atom_site_label
_atom_site_fract_x
_atom_site_fract_y
_atom_site_fract_z
Ag1 0.0000 0.0000 0.0000
Ir1 0.0000 0.5000 0.2580
Se1 0.0000 0.0000 0.5000
```

***

VASP calculation (meta-GGA SCAN) on a PBEsol-optimized structure of AgIrSe2.

ΔE_f (raw) (meV/atom): 271.6
Uncorrected energy (eV/atom): -35.384

CIF file:
```
data_AgIrSe2
_space_group_name_H-M_alt 'I m m 2'
_space_group_IT_number 44
_cell_length_a 2.9660
_cell_length_b 4.1137
_cell_length_c 12.0634
_cell_angle_alpha 90.00
_cell_angle_beta 90.00
_cell_angle_gamma 90.00
loop_
_space_group_symop_operation_xyz
'x,y,z'
'-x,-y,z'
'-x,y,z'
'x,-y,z'
'x+1/2,y+1/2,z+1/2'
'-x+1/2,-y+1/2,z+1/2'
'-x+1/2,y+1/2,z+1/2'
'x+1/2,-y+1/2,z+1/2'
loop_
_atom_site_label
_atom_site_fract_x
_atom_site_fract_y
_atom_site_fract_z
Ag1 0.0000 0.0000 0.0000
Ir1 0.0000 0.5000 0.7148
Se1 0.0000 0.0000 0.3825
Se2 0.0000 0.5000 0.1591
```

***

VASP calculation (meta-GGA SCAN) on a PBEsol-optimized structure of AgIrSe2.

ΔE_f (raw) (meV/atom): 96.3
Uncorrected energy (eV/atom): -35.559

CIF file:
```
data_AgIrSe2
_space_group_name_H-M_alt 'I -4 2 d'
_space_group_IT_number 122
_space_group_name_Hall 'I -4 2bw'
_cell_length_a 6.1620
_cell_length_b 6.1620
_cell_length_c 9.4689
_cell_angle_alpha 90.00
_cell_angle_beta 90.00
_cell_angle_gamma 90.00
loop_
_atom_site_label
_atom_site_fract_x
_atom_site_fract_y
_atom_site_fract_z
Ag1 0.0000 0.0000 0.0000
Ir1 0.0000 0.0000 0.5000
Se1 0.2193 0.2500 0.6250
```

***

VASP calculation (meta-GGA SCAN) on a PBEsol-optimized structure of AgIr2Se.

ΔE_f (raw) (meV/atom): 533.8
Uncorrected energy (eV/atom): -47.877

CIF file:
```
data_AgIr2Se
_space_group_name_H-M_alt 'I m m 2'
_space_group_IT_number 44
_cell_length_a 2.8318
_cell_length_b 4.6445
_cell_length_c 9.5829
_cell_angle_alpha 90.00
_cell_angle_beta 90.00
_cell_angle_gamma 90.00
loop_
_space_group_symop_operation_xyz
'x,y,z'
'-x,-y,z'
'-x,y,z'
'x,-y,z'
'x+1/2,y+1/2,z+1/2'
'-x+1/2,-y+1/2,z+1/2'
'-x+1/2,y+1/2,z+1/2'
'x+1/2,-y+1/2,z+1/2'
loop_
_atom_site_label
_atom_site_fract_x
_atom_site_fract_y
_atom_site_fract_z
Ag1 0.0000 0.0000 0.0000
Ir1 0.0000 0.0000 0.5080
Ir2 0.0000 0.5000 0.7721
Se1 0.0000 0.5000 0.2226
```

***

VASP calculation (meta-GGA SCAN) on a PBEsol-optimized structure of AgIrSe2.

ΔE_f (raw) (meV/atom): -130.4
Uncorrected energy (eV/atom): -35.786

CIF file:
```
data_AgIrSe2
_space_group_name_H-M_alt 'C 1 2/m 1'
_space_group_IT_number 12
_cell_length_a 6.3618
_cell_length_b 3.6768
_cell_length_c 6.8538
_cell_angle_alpha 90.00
_cell_angle_beta 107.94
_cell_angle_gamma 90.00
loop_
_space_group_symop_operation_xyz
'x,y,z'
'-x,-y,-z'
'-x,y,-z'
'x,-y,z'
'x+1/2,y+1/2,z'
'-x+1/2,-y+1/2,-z'
'-x+1/2,y+1/2,-z'
'x+1/2,-y+1/2,z'
loop_
_atom_site_label
_atom_site_fract_x
_atom_site_fract_y
_atom_site_fract_z
Ag1 0.0000 0.0000 0.0000
Ir1 0.0000 0.5000 0.5000
Se1 0.2335 0.0000 0.7019
```

***

VASP calculation (meta-GGA SCAN) on a PBEsol-optimized structure of AgIr2Se.

ΔE_f (raw) (meV/atom): 653.2
Uncorrected energy (eV/atom): -47.758

CIF file:
```
data_AgIr2Se
_space_group_name_H-M_alt 'C 1 2/m 1'
_space_group_IT_number 12
_cell_length_a 5.5167
_cell_length_b 9.3992
_cell_length_c 2.7686
_cell_angle_alpha 90.00
_cell_angle_beta 119.79
_cell_angle_gamma 90.00
loop_
_space_group_symop_operation_xyz
'x,y,z'
'-x,-y,-z'
'-x,y,-z'
'x,-y,z'
'x+1/2,y+1/2,z'
'-x+1/2,-y+1/2,-z'
'-x+1/2,y+1/2,-z'
'x+1/2,-y+1/2,z'
loop_
_atom_site_label
_atom_site_fract_x
_atom_site_fract_y
_atom_site_fract_z
Ag1 0.0000 0.0000 0.0000
Ir1 0.2500 0.2500 0.0000
Se1 0.0000 0.5000 0.0000
```

***

VASP calculation (meta-GGA SCAN) on a PBEsol-optimized structure of AgIr2Se.

ΔE_f (raw) (meV/atom): 765.6
Uncorrected energy (eV/atom): -47.645

CIF file:
```
data_AgIr2Se
_space_group_name_H-M_alt 'F -4 3 m'
_space_group_IT_number 216
_space_group_name_Hall 'F -4 2 3'
_cell_length_a 6.2914
_cell_length_b 6.2914
_cell_length_c 6.2914
_cell_angle_alpha 90.00
_cell_angle_beta 90.00
_cell_angle_gamma 90.00
loop_
_atom_site_label
_atom_site_fract_x
_atom_site_fract_y
_atom_site_fract_z
Ag1 0.0000 0.0000 0.0000
Ir1 0.0000 0.0000 0.5000
Ir2 0.2500 0.2500 0.2500
Se1 0.2500 0.2500 0.7500
```

***

VASP calculation (meta-GGA SCAN) on a PBEsol-optimized structure of SiAg2Ir.

ΔE_f (raw) (meV/atom): 201.1
Uncorrected energy (eV/atom): -35.761

CIF file:
```
data_SiAg2Ir
_space_group_name_H-M_alt 'P 1 2/m 1'
_space_group_IT_number 10
_cell_length_a 2.8200
_cell_length_b 4.9566
_cell_length_c 4.3620
_cell_angle_alpha 90.00
_cell_angle_beta 91.57
_cell_angle_gamma 90.00
loop_
_space_group_symop_operation_xyz
'x,y,z'
'-x,-y,-z'
'-x,y,-z'
'x,-y,z'
loop_
_atom_site_label
_atom_site_fract_x
_atom_site_fract_y
_atom_site_fract_z
Si1 0.0000 0.0000 0.0000
Ag1 0.2406 0.5000 0.7508
Ir1 0.5000 0.0000 0.5000
```

***

VASP calculation (meta-GGA SCAN) on a PBEsol-optimized structure of SiAgIr2.

ΔE_f (raw) (meV/atom): 304.1
Uncorrected energy (eV/atom): -45.591

CIF file:
```
data_SiAgIr2
_space_group_name_H-M_alt 'P m m m'
_space_group_IT_number 47
_cell_length_a 2.7416
_cell_length_b 4.4497
_cell_length_c 4.7642
_cell_angle_alpha 90.00
_cell_angle_beta 90.00
_cell_angle_gamma 90.00
loop_
_space_group_symop_operation_xyz
'x,y,z'
'-x,-y,-z'
'-x,-y,z'
'x,y,-z'
'x,-y,-z'
'-x,y,z'
'-x,y,-z'
'x,-y,z'
loop_
_atom_site_label
_atom_site_fract_x
_atom_site_fract_y
_atom_site_fract_z
Si1 0.0000 0.0000 0.0000
Ag1 0.5000 0.0000 0.5000
Ir1 0.0000 0.5000 0.5000
Ir2 0.5000 0.5000 0.0000
```

***

VASP calculation (meta-GGA SCAN) on a PBEsol-optimized structure of SiAg2Ir.

ΔE_f (raw) (meV/atom): 375.4
Uncorrected energy (eV/atom): -35.587

CIF file:
```
data_SiAg2Ir
_space_group_name_H-M_alt 'P m m m'
_space_group_IT_number 47
_cell_length_a 2.8398
_cell_length_b 4.1858
_cell_length_c 5.1528
_cell_angle_alpha 90.00
_cell_angle_beta 90.00
_cell_angle_gamma 90.00
loop_
_space_group_symop_operation_xyz
'x,y,z'
'-x,-y,-z'
'-x,-y,z'
'x,y,-z'
'x,-y,-z'
'-x,y,z'
'-x,y,-z'
'x,-y,z'
loop_
_atom_site_label
_atom_site_fract_x
_atom_site_fract_y
_atom_site_fract_z
Si1 0.0000 0.0000 0.0000
Ag1 0.5000 0.5000 0.2504
Ir1 0.0000 0.0000 0.5000
```

***

VASP calculation (meta-GGA SCAN) on a PBEsol-optimized structure of SiAgIr2.

ΔE_f (raw) (meV/atom): 79.2
Uncorrected energy (eV/atom): -45.816

CIF file:
```
data_SiAgIr2
_space_group_name_H-M_alt 'R 3 m'
_space_group_IT_number 160
_space_group_name_Hall 'R 3 -2"'
_cell_length_a 2.7787
_cell_length_b 2.7787
_cell_length_c 25.7676
_cell_angle_alpha 90.00
_cell_angle_beta 90.00
_cell_angle_gamma 120.00
loop_
_atom_site_label
_atom_site_fract_x
_atom_site_fract_y
_atom_site_fract_z
Si1 0.0000 0.0000 0.0000
Ag1 0.0000 0.0000 0.2498
Ir1 0.0000 0.0000 0.4919
Ir2 0.0000 0.0000 0.7381
```

***

VASP calculation (meta-GGA SCAN) on a PBEsol-optimized structure of SiAg2Ir.

ΔE_f (raw) (meV/atom): 128.8
Uncorrected energy (eV/atom): -35.833

CIF file:
```
data_SiAg2Ir
_space_group_name_H-M_alt 'I m m 2'
_space_group_IT_number 44
_cell_length_a 3.5191
_cell_length_b 4.3495
_cell_length_c 8.0187
_cell_angle_alpha 90.00
_cell_angle_beta 90.00
_cell_angle_gamma 90.00
loop_
_space_group_symop_operation_xyz
'x,y,z'
'-x,-y,z'
'-x,y,z'
'x,-y,z'
'x+1/2,y+1/2,z+1/2'
'-x+1/2,-y+1/2,z+1/2'
'-x+1/2,y+1/2,z+1/2'
'x+1/2,-y+1/2,z+1/2'
loop_
_atom_site_label
_atom_site_fract_x
_atom_site_fract_y
_atom_site_fract_z
Si1 0.0000 0.0000 0.0000
Ag1 0.0000 0.0000 0.5278
Ag2 0.0000 0.5000 0.7429
Ir1 0.0000 0.5000 0.3107
```

***

VASP calculation (meta-GGA SCAN) on a PBEsol-optimized structure of SiAg2Ir.

ΔE_f (raw) (meV/atom): 198.7
Uncorrected energy (eV/atom): -35.764

CIF file:
```
data_SiAg2Ir
_space_group_name_H-M_alt 'P 4/m m m'
_space_group_IT_number 123
_space_group_name_Hall '-P 4 2'
_cell_length_a 3.7309
_cell_length_b 3.7309
_cell_length_c 4.2760
_cell_angle_alpha 90.00
_cell_angle_beta 90.00
_cell_angle_gamma 90.00
loop_
_atom_site_label
_atom_site_fract_x
_atom_site_fract_y
_atom_site_fract_z
Si1 0.0000 0.0000 0.0000
Ag1 0.0000 0.5000 0.5000
Ir1 0.5000 0.5000 0.0000
```

***

VASP calculation (meta-GGA SCAN) on a PBEsol-optimized structure of SiAg2Ir.

ΔE_f (raw) (meV/atom): 203.2
Uncorrected energy (eV/atom): -35.759

CIF file:
```
data_SiAg2Ir
_space_group_name_H-M_alt 'F -4 3 m'
_space_group_IT_number 216
_space_group_name_Hall 'F -4 2 3'
_cell_length_a 6.1909
_cell_length_b 6.1909
_cell_length_c 6.1909
_cell_angle_alpha 90.00
_cell_angle_beta 90.00
_cell_angle_gamma 90.00
loop_
_atom_site_label
_atom_site_fract_x
_atom_site_fract_y
_atom_site_fract_z
Si1 0.0000 0.0000 0.0000
Ag1 0.0000 0.0000 0.5000
Ag2 0.2500 0.2500 0.2500
Ir1 0.2500 0.2500 0.7500
```

***

VASP calculation (meta-GGA SCAN) on a PBEsol-optimized structure of SiAgIr2.

ΔE_f (raw) (meV/atom): -270.6
Uncorrected energy (eV/atom): -46.166

CIF file:
```
data_SiAgIr2
_space_group_name_H-M_alt 'P 4/m m m'
_space_group_IT_number 123
_space_group_name_Hall '-P 4 2'
_cell_length_a 2.8693
_cell_length_b 2.8693
_cell_length_c 6.8631
_cell_angle_alpha 90.00
_cell_angle_beta 90.00
_cell_angle_gamma 90.00
loop_
_atom_site_label
_atom_site_fract_x
_atom_site_fract_y
_atom_site_fract_z
Si1 0.0000 0.0000 0.0000
Ag1 0.0000 0.0000 0.5000
Ir1 0.5000 0.5000 0.2047
```

***

VASP calculation (meta-GGA SCAN) on a PBEsol-optimized structure of Si2AgIr.

ΔE_f (raw) (meV/atom): 314.4
Relative energy among the computed polymorphs (meV/atom): 80
Uncorrected energy (eV/atom): -30.310

CIF file:
```
data_Si2AgIr
_space_group_name_H-M_alt 'C m m 2'
_space_group_IT_number 35
_cell_length_a 2.8380
_cell_length_b 4.7669
_cell_length_c 8.8262
_cell_angle_alpha 90.00
_cell_angle_beta 90.00
_cell_angle_gamma 90.00
loop_
_space_group_symop_operation_xyz
'x,y,z'
'-x,-y,z'
'-x,y,z'
'x,-y,z'
'x+1/2,y+1/2,z'
'-x+1/2,-y+1/2,z'
'-x+1/2,y+1/2,z'
'x+1/2,-y+1/2,z'
loop_
_atom_site_label
_atom_site_fract_x
_atom_site_fract_y
_atom_site_fract_z
Si1 0.0000 0.0000 0.0000
Si2 0.0000 0.5000 0.2456
Ag1 0.0000 0.0000 0.5085
Ir1 0.0000 0.5000 0.7872
```